[1]
A relaxed structure of La3Dy2Pb6, computed with PBE-GGA.

The calculation puts the energy of formation from the pure elements at -0.201 eV per atom. The calculation puts the density of states at the Fermi level at 7.47 states/eV/f.u. For the total DFT energy (no corrections), the calculation gives -4.40 eV/atom. The total magnetization comes out at 0.00 μB/f.u.

Lattice parameters (Å, degrees): 5.9399 5.9399 22.8859 90.00 90.00 90.00
Space group I4/mmm (No. 139)
Unique sites:
La: 0.0000 0.0000 0.0000 (multiplicity 2)
La: 0.0000 0.0000 0.1552 (multiplicity 4)
Dy: 0.0000 0.0000 0.4267 (multiplicity 4)
Pb: 0.0000 0.0000 0.2962 (multiplicity 4)
Pb: 0.0000 0.5000 0.0770 (multiplicity 8)

[2]
A relaxed structure of Pm3Pd12Pb, computed with PBE-GGA.

The calculation puts the energy of formation from the pure elements at -0.668 eV per atom. The calculation puts the density of states at the Fermi level at 6.64 states/eV/f.u. For the total DFT energy (no corrections), the calculation gives -5.68 eV/atom. The total magnetization comes out at 0.00 μB/f.u.

Lattice parameters (Å, degrees): 4.1723 4.1723 16.6190 90.00 90.00 90.00
Space group P4/mmm (No. 123)
Unique sites:
Pm: 0.0000 0.0000 0.0000 (multiplicity 1)
Pm: 0.0000 0.0000 0.2516 (multiplicity 2)
Pd: 0.0000 0.5000 0.1263 (multiplicity 4)
Pd: 0.0000 0.5000 0.3794 (multiplicity 4)
Pd: 0.5000 0.5000 0.0000 (multiplicity 1)
Pd: 0.5000 0.5000 0.2545 (multiplicity 2)
Pd: 0.5000 0.5000 0.5000 (multiplicity 1)
Pb: 0.0000 0.0000 0.5000 (multiplicity 1)

[3]
A relaxed structure of CrMo4W3, computed with PBE-GGA.

The calculation puts the energy of formation from the pure elements at 0.021 eV per atom. The calculation puts the density of states at the Fermi level at 5.19 states/eV/f.u. For the total DFT energy (no corrections), the calculation gives -11.46 eV/atom. The total magnetization comes out at 0.00 μB/f.u.

Lattice parameters (Å, degrees): 3.1472 3.1472 12.5419 90.00 90.00 90.00
Space group P4/mmm (No. 123)
Unique sites:
Cr: 0.0000 0.0000 0.0000 (multiplicity 1)
Mo: 0.5000 0.5000 0.1180 (multiplicity 2)
Mo: 0.5000 0.5000 0.3725 (multiplicity 2)
W: 0.0000 0.0000 0.2447 (multiplicity 2)
W: 0.0000 0.0000 0.5000 (multiplicity 1)

[4]
A relaxed structure of Y2Er3Tm3, computed with PBE-GGA.

The calculation puts the energy of formation from the pure elements at 0.109 eV per atom. The calculation puts the density of states at the Fermi level at 15.89 states/eV/f.u. The value obtained for the energy above the most stable polymorph in this dataset is 0.0 meV per atom. For the total DFT energy (no corrections), the calculation gives -4.90 eV/atom. The total magnetization comes out at 0.00 μB/f.u.

Lattice parameters (Å, degrees): 15.8402 5.6725 5.9966 90.00 112.13 90.00
Space group C2/m (No. 12)
Unique sites:
Y: 0.2501 0.0000 0.1861 (multiplicity 4)
Er: 0.0000 0.5000 0.5000 (multiplicity 2)
Er: 0.1292 0.5000 0.1865 (multiplicity 4)
Tm: 0.0000 0.0000 0.0000 (multiplicity 2)
Tm: 0.1292 0.0000 0.5733 (multiplicity 4)

[5]
A relaxed structure of Nb6SiN, computed with PBE-GGA.

The formation energy (no corrections) is -327 meV per atom. The calculation puts the density of states at the Fermi level at 4.72 states/eV/f.u. For the total DFT energy (no corrections), the calculation gives -9.60 eV/atom. The total magnetization comes out at 0.00 μB/f.u.

Lattice parameters (Å, degrees): 4.8539 5.2346 5.7115 96.33 112.11 97.83
Space group P-1 (No. 2)
Unique sites:
Nb: 0.0759 0.2639 0.1674 (multiplicity 2)
Nb: 0.2670 0.8255 0.4675 (multiplicity 2)
Nb: 0.3180 0.3811 0.7593 (multiplicity 2)
Si: 0.5000 0.0000 0.0000 (multiplicity 1)
N: 0.5000 0.5000 0.5000 (multiplicity 1)

[6]
A relaxed structure of CaAcPmEu, computed with PBE-GGA.

The calculation puts the energy of formation from the pure elements at 0.091 eV per atom. The calculation puts the density of states at the Fermi level at 6.91 states/eV/f.u. For the total DFT energy (no corrections), the calculation gives -5.19 eV/atom. The total magnetization comes out at 7.26 μB/f.u.

Lattice parameters (Å, degrees): 8.6564 8.6564 8.6564 90.00 90.00 90.00
Space group F-43m (No. 216)
Unique sites:
Ca: 0.0000 0.0000 0.0000 (multiplicity 4)
Ac: 0.2500 0.2500 0.2500 (multiplicity 4)
Pm: 0.0000 0.0000 0.5000 (multiplicity 4)
Eu: 0.2500 0.2500 0.7500 (multiplicity 4)

[7]
A relaxed structure of Nd6ZnGa3, computed with PBE-GGA.

The calculation puts the energy of formation from the pure elements at -0.259 eV per atom. The calculation puts the density of states at the Fermi level at 9.27 states/eV/f.u. For the total DFT energy (no corrections), the calculation gives -4.16 eV/atom. The total magnetization comes out at 0.00 μB/f.u.

Lattice parameters (Å, degrees): 7.7830 8.0642 12.0617 90.00 129.23 90.00
Space group P2_1/c (No. 14)
Unique sites:
Nd: 0.0176 0.0993 0.2502 (multiplicity 4)
Nd: 0.2256 0.6697 0.0658 (multiplicity 4)
Nd: 0.4066 0.1673 0.0694 (multiplicity 4)
Zn: 0.5000 0.0000 0.5000 (multiplicity 2)
Ga: 0.0000 0.0000 0.0000 (multiplicity 2)
Ga: 0.3023 0.1398 0.7506 (multiplicity 4)